Material: MnTeBr4
Method: DFT, PBE-GGA
State: relaxed

- calculated volume (Å³/atom) = 28.66
- uncorrected formation energy (eV per formula unit) = 4.6
- raw total energy (eV/atom) = -2.394
- crystal system = cubic
- theoretical density (Mg/m³) = 4.8

CIF file:
```
data_MnTeBr4
_chemical_formula_sum 'Mn4 Te4 Br16'
_cell_length_a 8.8268
_cell_length_b 8.8268
_cell_length_c 8.8268
_cell_angle_alpha 90.00
_cell_angle_beta 90.00
_cell_angle_gamma 90.00
_symmetry_space_group_name_H-M 'F -4 3 m'
_symmetry_Int_Tables_number 216
_symmetry_space_group_name_Hall 'F -4 2 3'
loop_
_atom_site_label
_atom_site_type_symbol
_atom_site_fract_x
_atom_site_fract_y
_atom_site_fract_z
Mn1 Mn 0.0000 0.0000 0.0000
Te1 Te 0.2500 0.2500 0.7500
Br1 Br 0.1255 0.1255 0.3745
```